# Ag2OsCl (meta-GGA SCAN, single point on PBEsol structure)
data_Ag2OsCl
_chemical_formula_sum 'Ag4 Os2 Cl2'
_cell_length_a 2.751
_cell_length_b 4.087
_cell_length_c 12.583
_cell_angle_alpha 90.00
_cell_angle_beta 90.00
_cell_angle_gamma 90.00
_space_group_name_H-M_alt 'I m m m'
_space_group_IT_number 71
_space_group_name_Hall '-I 2 2'
loop_
_atom_site_label
_atom_site_fract_x
_atom_site_fract_y
_atom_site_fract_z
_atom_site_occupancy
Ag1 0.000 0.000 0.194 1
Os1 0.000 0.500 0.500 1
Cl1 0.000 0.500 0.000 1
# N(E_F)   2.65 states/eV/f.u.
# E_form (uncorrected)   319.8 kJ/mol of formula units
# Relative energy among the computed polymorphs   251 meV per atom



# AgOs2Cl (meta-GGA SCAN, single point on PBEsol structure)
data_AgOs2Cl
_chemical_formula_sum 'Ag2 Os4 Cl2'
_cell_length_a 2.793
_cell_length_b 4.480
_cell_length_c 9.622
_cell_angle_alpha 90.00
_cell_angle_beta 90.00
_cell_angle_gamma 90.00
_space_group_name_H-M_alt 'I m m m'
_space_group_IT_number 71
_space_group_name_Hall '-I 2 2'
loop_
_atom_site_label
_atom_site_fract_x
_atom_site_fract_y
_atom_site_fract_z
_atom_site_occupancy
Ag1 0.000 0.000 0.000 1
Os1 0.000 0.500 0.219 1
Cl1 0.000 0.000 0.500 1
# N(E_F)   2.65 states/eV/f.u.
# E_form (uncorrected)   416.3 kJ/mol of formula units
# Relative energy among the computed polymorphs   0 meV per atom